# PBE B2IrOs, relaxed
# Size of the total moment: 0.0 μB per formula unit
# Uncorrected energy: -7.049 eV per atom
data_B2IrOs
_space_group_name_H-M_alt 'F -4 3 m'
_space_group_IT_number 216
_space_group_name_Hall 'F -4 2 3'
_cell_length_a 5.7208
_cell_length_b 5.7208
_cell_length_c 5.7208
_cell_angle_alpha 90.00
_cell_angle_beta 90.00
_cell_angle_gamma 90.00
loop_
_atom_site_label
_atom_site_type_symbol
_atom_site_fract_x
_atom_site_fract_y
_atom_site_fract_z
B1 B 0.0000 0.0000 0.0000
B2 B 0.2500 0.2500 0.2500
Ir1 Ir 0.0000 0.0000 0.5000
Os1 Os 0.2500 0.2500 0.7500